Entry 1:
Mg3CdBr: relaxed, PBE.

```
Mg3CdBr
1.0
5.283 0.000 0.000
0.000 5.283 0.000
0.000 0.000 5.283
Mg Cd Br
3 1 1
Direct
0.000 0.500 0.000 Mg
0.500 0.000 0.000 Mg
0.000 0.000 0.500 Mg
0.500 0.500 0.500 Cd
0.000 0.000 0.000 Br
```

Computed properties:
energy	-1.18	eV/atom
uncorrected formation energy	0.30	eV/atom

Entry 2:
ErPu2USe4: relaxed, PBE.

```
ErPu2USe4
1.0
4.037 0.000 0.000
0.000 7.058 0.138
0.000 -2.448 6.751
Pu Se Er U
2 4 1 1
Direct
0.000 0.500 0.500 Pu
0.500 0.000 0.500 Pu
0.000 0.745 0.244 Se
0.500 0.748 0.754 Se
0.000 0.255 0.756 Se
0.500 0.252 0.246 Se
0.500 0.500 0.000 Er
0.000 0.000 0.000 U
```

Computed properties:
energy	-8.73	eV/atom
uncorrected formation energy	-1.43	eV/atom